# 1
Density functional theory data (PBE) for a relaxed Ac2AlTlPt crystal.

Calculated values
Fermi-level density of states: 4.8 states/eV per cell
Energy of formation from the pure elements: -666 meV/atom
Total magnetic moment: 0.00 μB/atom

Unit cell a=7.9487 b=4.7646 c=8.1861 alpha=90.00 beta=109.90 gamma=90.00
Closest atoms and distances in Å follow each position.
Space group P2_1/m (No. 11)
Unique sites:
Ac: 0.1202 0.2500 0.3361 x2  3 Pt 3.14-3.34, 2 Al 3.47, 2 Tl 3.50
Ac: 0.2929 0.2500 0.9536 x2  3 Pt 3.12-3.19
Al: 0.4307 0.7500 0.3180 x2  1 Pt 2.55
Tl: 0.3435 0.7500 0.6476 x2  3 Al 2.94-3.01
Pt: 0.1202 0.7500 0.0866 x2  1 Al 2.55


# 2
Density functional theory data (PBE) for a relaxed NdZnGa2Ni4 crystal.

Calculated values
Fermi-level density of states: 12.7 states/eV per cell
Energy of formation from the pure elements: -383 meV/atom
Total magnetic moment: 0.00 μB/atom

Unit cell a=4.0657 b=4.0657 c=25.2939 alpha=90.00 beta=90.00 gamma=120.00
Closest atoms and distances in Å follow each position.
Space group R-3m (No. 166, hexagonal axes)
Unique sites:
Nd: 0.0000 0.0000 0.0000 x3  8 Ni 2.98-3.34
Zn: 0.0000 0.0000 0.5000 x3  8 Ni 2.37-2.51
Ga: 0.0000 0.0000 0.2376 x6  7 Ni 2.42-2.67
Ni: 0.0000 0.0000 0.1321 x6  3 Zn 2.51, 4 Ga 2.52-2.67, 3 Ni 2.78
Ni: 0.0000 0.0000 0.4062 x6  1 Zn 2.37, 3 Ga 2.42


# 3
Density functional theory data (PBE) for a relaxed Ho12Mg2Cd5 crystal.

Calculated values
Fermi-level density of states: 46.7 states/eV per cell
Energy of formation from the pure elements: -75 meV/atom
Total magnetic moment: 0.00 μB/atom

Unit cell a=12.4212 b=10.5675 c=8.2947 alpha=90.00 beta=102.87 gamma=90.00
Closest atoms and distances in Å follow each position.
Space group C2/m (No. 12)
Unique sites:
Ho: 0.0772 0.0000 0.2081 x4  3 Cd 3.17-3.33, 5 Ho 3.40-3.51
Ho: 0.1064 0.2412 0.8946 x8  3 Cd 3.13-3.28, 1 Mg 3.25, 4 Ho 3.37-3.48
Ho: 0.1364 0.5000 0.6338 x4  1 Cd 3.20, 2 Mg 3.41, 5 Ho 3.51-3.56
Ho: 0.1783 0.3069 0.3025 x8  2 Cd 3.09-3.34, 1 Mg 3.15, 1 Ho 3.37
Mg: 0.0000 0.2261 0.5000 x4  2 Cd 2.91, 4 Ho 3.15-3.25
Cd: 0.0000 0.5000 0.0000 x2  2 Cd 3.02, 4 Ho 3.24
Cd: 0.1314 0.0000 0.6000 x4  2 Mg 2.91, 3 Ho 3.09-3.17, 1 Cd 3.17
Cd: 0.2457 0.5000 0.0216 x4  2 Cd 3.02-3.17, 8 Ho 3.13-3.34


# 4
Density functional theory data (PBE) for a relaxed Na3U3AlTe8 crystal.

Calculated values
Formation energy without anion corrections: -0.682 eV per atom
Fermi-level density of states: 59.7 states/eV per cell
Total magnetic moment: 0.52 μB/atom

Unit cell a=8.7765 b=8.7765 c=22.7951 alpha=90.00 beta=90.00 gamma=120.00
Closest atoms and distances in Å follow each position.
Space group R-3m (No. 166, hexagonal axes)
Unique sites:
Na: 0.0000 0.5000 0.0000 x9  6 Te 3.23-3.27
U: 0.0000 0.5000 0.5000 x9  6 Te 3.09-3.11
Al: 0.0000 0.0000 0.5000 x3  6 Te 2.91
Te: 0.0000 0.0000 0.2458 x6  3 U 3.11, 3 Na 3.23
Te: 0.0188 0.5094 0.2393 x18  1 Al 2.91, 2 U 3.09


# 5
Density functional theory data (PBE) for a relaxed AlGaCl crystal.

Calculated values
Formation energy without anion corrections: -0.359 eV per atom
Fermi-level density of states: 0.8 states/eV per cell
Total magnetic moment: 0.00 μB/atom

Unit cell a=5.4485 b=4.9084 c=5.6168 alpha=90.00 beta=92.16 gamma=90.00
Closest atoms and distances in Å follow each position.
Space group P2_1/m (No. 11)
Unique sites:
Al: 0.1220 0.2500 0.0337 x2  1 Cl 2.23
Ga: 0.3776 0.7500 0.0225 x2  4 Al 2.73-2.82, 2 Ga 2.81
Cl: 0.2441 0.2500 0.4174 x2  1 Al 2.23


# 6
Density functional theory data (PBE) for a relaxed Dy3Y2HoS6 crystal.

Calculated values
Formation energy without anion corrections: -1.995 eV per atom
Fermi-level density of states: 9.8 states/eV per cell
Total magnetic moment: 0.00 μB/atom

Unit cell a=6.7490 b=11.7399 c=6.7631 alpha=90.00 beta=109.48 gamma=90.00
Closest atoms and distances in Å follow each position.
Space group C2/m (No. 12)
Unique sites:
Dy: 0.0000 0.0000 0.0000 x2  6 S 2.76-2.77
Dy: 0.0000 0.3322 0.0000 x4  6 S 2.75-2.76
Y: 0.0000 0.1668 0.5000 x4  6 S 2.76-2.77
Ho: 0.0000 0.5000 0.5000 x2  6 S 2.75
S: 0.2478 0.5000 0.2493 x4  1 Ho 2.75, 3 Dy 2.76-2.77, 2 Y 2.77
S: 0.2490 0.3343 0.7498 x8  1 Ho 2.75, 3 Dy 2.75-2.76, 2 Y 2.76-2.77